Record 1
Computed, not measured: an optimized crystal structure of SrCdSN2 at the PBEsol level of DFT. Values from VASP.

Properties
Formation energy without anion corrections ... 647.5 kJ/mol of formula units
Calculated volume ... 125.0 Å³ per cell
ρ ... 3.45 g/cm³

Quantum ESPRESSO input file:
```
&SYSTEM
  ibrav = 0, nat = 5, ntyp = 4
/
ATOMIC_SPECIES
Sr 87.62 Sr.upf
Cd 112.41 Cd.upf
S 32.06 S.upf
N 14.01 N.upf
CELL_PARAMETERS angstrom
4.6641 0.0000 0.0000
0.0000 4.6641 0.0000
0.0000 0.0000 5.7470
ATOMIC_POSITIONS angstrom
Sr 0.0000 0.0000 0.0000
Cd 2.3320 2.3320 2.8735
S 0.0000 0.0000 2.8735
N 0.0000 2.3320 0.0000
N 2.3320 0.0000 0.0000
```



Record 2
Computed, not measured: an optimized crystal structure of CdTe2SN at the PBEsol level of DFT. Values from VASP.

Properties
Formation energy without anion corrections ... 626.8 kJ/mol of formula units
Calculated volume ... 123.5 Å³ per cell
ρ ... 5.56 g/cm³

Quantum ESPRESSO input file:
```
&SYSTEM
  ibrav = 0, nat = 5, ntyp = 4
/
ATOMIC_SPECIES
Cd 112.41 Cd.upf
Te 127.60 Te.upf
S 32.06 S.upf
N 14.01 N.upf
CELL_PARAMETERS angstrom
5.5792 0.0000 0.0000
0.0000 5.5792 0.0000
0.0000 0.0000 3.9682
ATOMIC_POSITIONS angstrom
Cd 0.0000 0.0000 0.0000
Te 0.0000 2.7896 0.0000
Te 2.7896 0.0000 0.0000
S 2.7896 2.7896 1.9841
N 0.0000 0.0000 1.9841
```



Record 3
Computed, not measured: an optimized crystal structure of CdWSN2 at the PBEsol level of DFT. Values from VASP.

Properties
Formation energy without anion corrections ... 1111.0 kJ/mol of formula units
Calculated volume ... 79.6 Å³ per cell
ρ ... 7.44 g/cm³

Quantum ESPRESSO input file:
```
&SYSTEM
  ibrav = 0, nat = 5, ntyp = 4
/
ATOMIC_SPECIES
Cd 112.41 Cd.upf
W 183.84 W.upf
S 32.06 S.upf
N 14.01 N.upf
CELL_PARAMETERS angstrom
4.0313 0.0000 0.0000
0.0000 4.0313 0.0000
0.0000 0.0000 4.8955
ATOMIC_POSITIONS angstrom
Cd 0.0000 0.0000 0.0000
W 2.0157 2.0157 2.4477
S 0.0000 0.0000 2.4477
N 0.0000 2.0157 0.0000
N 2.0157 0.0000 0.0000
```



Record 4
Computed, not measured: an optimized crystal structure of Cd3SbN at the PBEsol level of DFT. Values from VASP.

Properties
Formation energy without anion corrections ... 159.3 kJ/mol of formula units
Calculated volume ... 98.2 Å³ per cell
ρ ... 8.00 g/cm³

Quantum ESPRESSO input file:
```
&SYSTEM
  ibrav = 0, nat = 5, ntyp = 3
/
ATOMIC_SPECIES
Cd 112.41 Cd.upf
Sb 121.76 Sb.upf
N 14.01 N.upf
CELL_PARAMETERS angstrom
4.6130 0.0000 0.0000
0.0000 4.6130 0.0000
0.0000 0.0000 4.6130
ATOMIC_POSITIONS angstrom
Cd 0.0000 0.0000 2.3065
Cd 0.0000 2.3065 0.0000
Cd 2.3065 0.0000 0.0000
Sb 2.3065 2.3065 2.3065
N 0.0000 0.0000 0.0000
```



Record 5
Computed, not measured: an optimized crystal structure of CdSe3N at the PBEsol level of DFT. Values from VASP.

Properties
Formation energy without anion corrections ... 309.3 kJ/mol of formula units
Calculated volume ... 86.6 Å³ per cell
ρ ... 6.97 g/cm³

Quantum ESPRESSO input file:
```
&SYSTEM
  ibrav = 0, nat = 5, ntyp = 3
/
ATOMIC_SPECIES
Cd 112.41 Cd.upf
Se 78.96 Se.upf
N 14.01 N.upf
CELL_PARAMETERS angstrom
4.4236 0.0000 0.0000
0.0000 4.4236 0.0000
0.0000 0.0000 4.4236
ATOMIC_POSITIONS angstrom
Cd 0.0000 0.0000 0.0000
Se 0.0000 2.2118 2.2118
Se 2.2118 0.0000 2.2118
Se 2.2118 2.2118 0.0000
N 2.2118 2.2118 2.2118
```



Record 6
Computed, not measured: an optimized crystal structure of SrCdSe2N at the PBEsol level of DFT. Values from VASP.

Properties
Formation energy without anion corrections ... 353.7 kJ/mol of formula units
Calculated volume ... 152.9 Å³ per cell
Polymorph energy (0 for the lowest one) ... 743 meV/atom
ρ ... 4.04 g/cm³

Quantum ESPRESSO input file:
```
&SYSTEM
  ibrav = 0, nat = 5, ntyp = 4
/
ATOMIC_SPECIES
Sr 87.62 Sr.upf
Cd 112.41 Cd.upf
Se 78.96 Se.upf
N 14.01 N.upf
CELL_PARAMETERS angstrom
5.7050 0.0000 0.0000
0.0000 5.7050 0.0000
0.0000 0.0000 4.6993
ATOMIC_POSITIONS angstrom
Sr 0.0000 0.0000 0.0000
Cd 2.8525 2.8525 2.3496
Se 0.0000 2.8525 0.0000
Se 2.8525 0.0000 0.0000
N 0.0000 0.0000 2.3496
```



Record 7
Computed, not measured: an optimized crystal structure of SrCdSe2N at the PBEsol level of DFT. Values from VASP.

Properties
Formation energy without anion corrections ... -5.0 kJ/mol of formula units
Calculated volume ... 119.3 Å³ per cell
Polymorph energy (0 for the lowest one) ... 0 meV/atom
ρ ... 5.18 g/cm³

Quantum ESPRESSO input file:
```
&SYSTEM
  ibrav = 0, nat = 5, ntyp = 4
/
ATOMIC_SPECIES
Sr 87.62 Sr.upf
Cd 112.41 Cd.upf
Se 78.96 Se.upf
N 14.01 N.upf
CELL_PARAMETERS angstrom
5.3082 0.0000 0.0000
0.0000 5.3082 0.0000
0.0000 0.0000 4.2330
ATOMIC_POSITIONS angstrom
Sr 0.0000 0.0000 0.0000
Cd 2.6541 2.6541 2.1165
Se 0.0000 2.6541 2.1165
Se 2.6541 0.0000 2.1165
N 2.6541 2.6541 0.0000
```



Record 8
Computed, not measured: an optimized crystal structure of CdTeSeN2 at the PBEsol level of DFT. Values from VASP.

Properties
Formation energy without anion corrections ... 660.9 kJ/mol of formula units
Calculated volume ... 90.6 Å³ per cell
ρ ... 6.36 g/cm³

Quantum ESPRESSO input file:
```
&SYSTEM
  ibrav = 0, nat = 5, ntyp = 4
/
ATOMIC_SPECIES
Cd 112.41 Cd.upf
Te 127.60 Te.upf
Se 78.96 Se.upf
N 14.01 N.upf
CELL_PARAMETERS angstrom
3.9466 0.0000 0.0000
0.0000 3.9466 0.0000
0.0000 0.0000 5.8186
ATOMIC_POSITIONS angstrom
Cd 0.0000 0.0000 0.0000
Te 1.9733 1.9733 0.0000
Se 1.9733 1.9733 2.9093
N 0.0000 1.9733 2.9093
N 1.9733 0.0000 2.9093
```